Cr2AuSe: optimized geometry, PBE-GGA.

V: 18.77 Å³ per atom
Energy relative to the elements, uncorrected: 193 meV/atom
D(E_F): 2.15 states/eV/f.u.
Symmetry: Amm2

abc: 3.986 5.527 5.527
angles: 38.09 90.00 90.00
Sites, in units of the cell vectors:
Cr: 0.000 0.000 0.000
Cr: 0.500 0.284 0.284
Au: 0.500 0.545 0.545
Se: 0.000 0.760 0.760


Cr2AuSe: optimized geometry, PBE-GGA.

V: 19.34 Å³ per atom
Energy relative to the elements, uncorrected: 161 meV/atom
D(E_F): 2.16 states/eV/f.u.
Symmetry: Pmm2

abc: 3.820 5.307 3.815
angles: 90.00 90.00 90.00
Sites, in units of the cell vectors:
Cr: 0.000 0.000 0.000
Cr: 0.500 0.500 0.449
Au: 0.000 0.500 0.948
Se: 0.500 0.000 0.493


CrAuSe2: optimized geometry, PBE-GGA.

V: 24.62 Å³ per atom
Energy relative to the elements, uncorrected: -123 meV/atom
D(E_F): 2.07 states/eV/f.u.
Symmetry: I-42d

abc: 7.094 7.094 7.094
angles: 131.34 131.34 71.27
Sites, in units of the cell vectors:
Cr: 0.000 0.000 0.000
Cr: 0.750 0.250 0.500
Au: 0.250 0.750 0.500
Au: 0.500 0.500 0.000
Se: 0.096 0.625 0.971
Se: 0.375 0.346 0.471
Se: 0.654 0.125 0.029
Se: 0.875 0.904 0.529


Cr2AuSe: optimized geometry, PBE-GGA.

V: 17.36 Å³ per atom
Energy relative to the elements, uncorrected: 422 meV/atom
D(E_F): 3.16 states/eV/f.u.
Symmetry: F-43m

abc: 4.614 4.614 4.614
angles: 60.00 60.00 60.00
Sites, in units of the cell vectors:
Cr: 0.000 0.000 0.000
Cr: 0.250 0.250 0.250
Au: 0.500 0.500 0.500
Se: 0.750 0.750 0.750


Copy entry 2 word for word.
Cr2AuSe: optimized geometry, PBE-GGA.

V: 19.34 Å³ per atom
Energy relative to the elements, uncorrected: 161 meV/atom
D(E_F): 2.16 states/eV/f.u.
Symmetry: Pmm2

abc: 3.820 5.307 3.815
angles: 90.00 90.00 90.00
Sites, in units of the cell vectors:
Cr: 0.000 0.000 0.000
Cr: 0.500 0.500 0.449
Au: 0.000 0.500 0.948
Se: 0.500 0.000 0.493